PmGd2Cd: optimized geometry, GGA-PBE.

density of states at the Fermi level: 4.6 states/eV/cell
total magnetization: 15.010 Bohr magnetons per cell
formation energy from the elements: 0.16 eV per atom
excess energy over the best structure of this formula in the dataset: 318 meV/atom
calculated volume: 130.7 Å³/f.u.

Structure (POSCAR):
```
PmGd2Cd
1.0
1.756 1.014 12.232
-1.756 1.014 12.232
0.000 -2.028 12.232
Pm Gd Cd
1 2 1
Direct
0.000 0.000 0.000 Pm
0.412 0.412 0.412 Gd
0.588 0.588 0.588 Gd
0.500 0.500 0.500 Cd
```

---

NiPtSe3: optimized geometry, GGA-PBE.

density of states at the Fermi level: 13.4 states/eV/cell
total magnetization: 0.000 Bohr magnetons per cell
uncorrected formation energy: -0.15 eV/atom
excess energy over the best structure of this formula in the dataset: 48 meV/atom
calculated volume: 102.8 Å³/f.u.

Structure (POSCAR):
```
NiPtSe3
1.0
6.131 0.000 0.000
0.000 11.034 0.000
0.000 0.000 6.080
Ni Pt Se
4 4 12
Direct
0.151 0.250 0.049 Ni
0.349 0.750 0.549 Ni
0.651 0.250 0.451 Ni
0.849 0.750 0.951 Ni
0.000 0.000 0.500 Pt
0.000 0.500 0.500 Pt
0.500 0.000 0.000 Pt
0.500 0.500 0.000 Pt
0.034 0.250 0.403 Se
0.129 0.067 0.876 Se
0.129 0.433 0.876 Se
0.371 0.567 0.376 Se
0.371 0.933 0.376 Se
0.466 0.750 0.903 Se
0.534 0.250 0.097 Se
0.629 0.067 0.624 Se
0.629 0.433 0.624 Se
0.871 0.567 0.124 Se
0.871 0.933 0.124 Se
0.966 0.750 0.597 Se
```

---

Ho8Te4CS3: optimized geometry, GGA-PBE.

density of states at the Fermi level: 5.3 states/eV/cell
total magnetization: 0.000 Bohr magnetons per cell
uncorrected formation energy: -1.48 eV/atom
calculated volume: 384.7 Å³/f.u.

Structure (POSCAR):
```
Ho8Te4CS3
1.0
4.002 2.311 6.934
-4.002 2.311 6.934
0.000 -4.621 6.934
Ho Te C S
8 4 1 3
Direct
0.235 0.235 0.235 Ho
0.259 0.719 0.719 Ho
0.281 0.281 0.741 Ho
0.281 0.741 0.281 Ho
0.719 0.259 0.719 Ho
0.719 0.719 0.259 Ho
0.741 0.281 0.281 Ho
0.765 0.765 0.765 Ho
0.000 0.000 0.000 Te
0.000 0.500 0.500 Te
0.500 0.000 0.500 Te
0.500 0.500 0.000 Te
0.500 0.500 0.500 C
0.000 0.000 0.500 S
0.000 0.500 0.000 S
0.500 0.000 0.000 S
```

---

TaFeAu2: optimized geometry, GGA-PBE.

density of states at the Fermi level: 3.1 states/eV/cell
total magnetization: 2.827 Bohr magnetons per cell
formation energy from the elements: 0.09 eV per atom
excess energy over the best structure of this formula in the dataset: 73 meV/atom
calculated volume: 66.1 Å³/f.u.

Structure (POSCAR):
```
TaFeAu2
1.0
2.890 0.000 0.000
0.000 2.890 0.000
0.000 0.000 7.916
Ta Fe Au
1 1 2
Direct
0.000 0.000 0.000 Ta
0.000 0.000 0.500 Fe
0.500 0.500 0.263 Au
0.500 0.500 0.737 Au
```

---

Ba2Ag15Pd2: optimized geometry, GGA-PBE.

density of states at the Fermi level: 8.0 states/eV/cell
total magnetization: 0.000 Bohr magnetons per cell
formation energy from the elements: -0.10 eV per atom
calculated volume: 398.6 Å³/f.u.

Structure (POSCAR):
```
Ba2Ag15Pd2
1.0
4.918 2.840 4.757
-4.918 2.840 4.757
0.000 -5.679 4.757
Ba Ag Pd
2 15 2
Direct
0.168 0.168 0.168 Ba
0.832 0.832 0.832 Ba
0.000 0.500 0.500 Ag
0.155 0.155 0.650 Ag
0.155 0.650 0.155 Ag
0.211 0.500 0.789 Ag
0.211 0.789 0.500 Ag
0.350 0.845 0.845 Ag
0.500 0.000 0.500 Ag
0.500 0.211 0.789 Ag
0.500 0.500 0.000 Ag
0.500 0.789 0.211 Ag
0.650 0.155 0.155 Ag
0.789 0.211 0.500 Ag
0.789 0.500 0.211 Ag
0.845 0.350 0.845 Ag
0.845 0.845 0.350 Ag
0.403 0.403 0.403 Pd
0.597 0.597 0.597 Pd
```

---

Ca3Bi2Rh: optimized geometry, GGA-PBE.

density of states at the Fermi level: 13.2 states/eV/cell
total magnetization: 0.000 Bohr magnetons per cell
formation energy from the elements: -0.72 eV per atom
calculated volume: 176.2 Å³/f.u.

Structure (POSCAR):
```
Ca3Bi2Rh
1.0
12.696 0.000 0.000
0.000 4.476 0.000
0.000 0.000 12.401
Ca Bi Rh
12 8 4
Direct
0.056 0.250 0.125 Ca
0.114 0.750 0.541 Ca
0.239 0.250 0.789 Ca
0.261 0.750 0.289 Ca
0.386 0.250 0.041 Ca
0.444 0.750 0.625 Ca
0.556 0.250 0.375 Ca
0.614 0.750 0.959 Ca
0.739 0.250 0.711 Ca
0.761 0.750 0.211 Ca
0.886 0.250 0.459 Ca
0.944 0.750 0.875 Ca
0.002 0.750 0.303 Bi
0.195 0.750 0.989 Bi
0.305 0.250 0.489 Bi
0.498 0.250 0.803 Bi
0.502 0.750 0.197 Bi
0.695 0.750 0.511 Bi
0.805 0.250 0.011 Bi
0.998 0.250 0.697 Bi
0.124 0.250 0.365 Rh
0.376 0.750 0.865 Rh
0.624 0.250 0.135 Rh
0.876 0.750 0.635 Rh
```